1.
# P2C

P2C after structural relaxation (GGA-PBE, Alexandria via LeMat-Bulk).

As for the formation energy: 0.44 eV per atom. For the offset from the most stable computed form, the calculation gives 0.9 kJ/mol of atoms.

The space group is P3m1 (No. 156) and the conventional cell measures 2.8408, 2.8408 and 6.2209 Å, with angles of 90.00, 90.00 and 120.00 degrees. The inequivalent atoms are P at (0.0000, 0.0000, 0.0000), P at (0.3333, 0.6667, 0.5613) and C at (0.0000, 0.0000, 0.7024).

***

2.
# TbCeNdSm

TbCeNdSm after structural relaxation (GGA-PBE, Alexandria via LeMat-Bulk).

As for the formation energy: 0.20 eV per atom.

The space group is F-43m (No. 216) and the conventional cell measures 8.128, 8.128 and 8.128 Å, with angles of 90.00, 90.00 and 90.00 degrees. The inequivalent atoms are Tb at (0.000, 0.000, 0.000), Ce at (0.000, 0.000, 0.500), Nd at (0.250, 0.250, 0.750) and Sm at (0.250, 0.250, 0.250).

***

3.
# MgB2Pb2O6

MgB2Pb2O6 after structural relaxation (GGA-PBE, Alexandria via LeMat-Bulk).

For the uncorrected formation energy, the calculation gives -197 kJ per mole of atoms.

The space group is C2/m (No. 12) and the conventional cell measures 9.166, 5.262 and 6.320 Å, with angles of 90.00, 117.20 and 90.00 degrees. The inequivalent atoms are Mg at (0.000, 0.000, 0.000), B at (0.065, 0.500, 0.780), Pb at (0.209, 0.000, 0.690), O at (0.020, 0.272, 0.253) and O at (0.232, 0.500, 0.853).

***

4.
# Te2PbO5

Te2PbO5 after structural relaxation (GGA-PBE, Alexandria via LeMat-Bulk).

For the uncorrected formation energy, the calculation gives -104 kJ per mole of atoms.

The space group is Pbcn (No. 60) and the conventional cell measures 7.521, 12.419 and 7.176 Å, with angles of 90.00, 90.00 and 90.00 degrees. The inequivalent atoms are Te at (0.123, 0.171, 0.042), Pb at (0.000, 0.445, 0.250), O at (0.000, 0.094, 0.250), O at (0.174, 0.416, 0.548) and O at (0.204, 0.290, 0.179).

***

5.
# Ac3LaPb4

Ac3LaPb4 after structural relaxation (GGA-PBE, Alexandria via LeMat-Bulk).

As for the formation energy: -0.51 eV per atom.

The space group is C2/m (No. 12) and the conventional cell measures 7.705, 9.396 and 8.522 Å, with angles of 90.00, 116.42 and 90.00 degrees. The inequivalent atoms are Ac at (0.000, 0.000, 0.000), Ac at (0.247, 0.500, 0.494), La at (0.000, 0.500, 0.000) and Pb at (0.128, 0.250, 0.756).

***

6.
# La2Ni

La2Ni after structural relaxation (GGA-PBE, Alexandria via LeMat-Bulk).

As for the formation energy: -0.15 eV per atom.

The space group is I4/mmm (No. 139) and the conventional cell measures 3.588, 3.588 and 13.204 Å, with angles of 90.00, 90.00 and 90.00 degrees. The inequivalent atoms are La at (0.000, 0.000, 0.124) and Ni at (0.000, 0.000, 0.500).